Record 1
## Nb4Co2C (PBE)

Data for a geometry-optimized Nb4Co2C structure.

* D(E_F): 34.67 states/eV/cell
* V: 402 Å³ per cell
* calculated formation energy: -0.291 eV per atom
* SG: Fd-3m
* magnetic moment: 7.7 μB per cell

abc: 8.2831 8.2831 8.2831
angles: 60.00 60.00 60.00
Each line ends with the local moment (μB).
Atoms (fractional coordinates):
Nb 0.1250 0.6250 0.6250  0.03
Nb 0.6250 0.1250 0.6250  0.03
Nb 0.6250 0.6250 0.1250  0.03
Nb 0.6250 0.6250 0.6250  0.03
Nb 0.8135 0.8135 0.1865  0.13
Nb 0.1865 0.1865 0.8135  0.13
Nb 0.8135 0.1865 0.8135  0.13
Nb 0.1865 0.8135 0.1865  0.13
Nb 0.1865 0.8135 0.8135  0.13
Nb 0.8135 0.1865 0.1865  0.13
Nb 0.4365 0.4365 0.0635  0.13
Nb 0.0635 0.0635 0.4365  0.13
Nb 0.4365 0.0635 0.4365  0.13
Nb 0.0635 0.4365 0.0635  0.13
Nb 0.0635 0.4365 0.4365  0.13
Nb 0.4365 0.0635 0.0635  0.13
Co 0.7447 0.4184 0.4184  0.72
Co 0.4184 0.7447 0.4184  0.72
Co 0.4184 0.4184 0.7447  0.72
Co 0.4184 0.4184 0.4184  0.72
Co 0.5053 0.8316 0.8316  0.72
Co 0.8316 0.5053 0.8316  0.72
Co 0.8316 0.8316 0.5053  0.72
Co 0.8316 0.8316 0.8316  0.72
C 0.6250 0.1250 0.1250  -0.01
C 0.1250 0.6250 0.1250  -0.01
C 0.1250 0.1250 0.6250  -0.01
C 0.1250 0.1250 0.1250  -0.01

---

Record 2
## Nb4CoC (PBE)

Data for a geometry-optimized Nb4CoC structure.

* D(E_F): 13.06 states/eV/cell
* V: 187 Å³ per cell
* calculated formation energy: -0.026 eV per atom
* SG: P2_1/c
* magnetic moment: 0.0 μB per cell

abc: 6.1829 5.5890 5.5593
angles: 90.00 103.25 90.00
Atoms (fractional coordinates):
Nb 0.8748 0.6336 0.1414
Nb 0.6252 0.1336 0.8586
Nb 0.2979 0.3366 0.3981
Nb 0.2021 0.8366 0.6019
Nb 0.1252 0.3664 0.8586
Nb 0.3748 0.8664 0.1414
Nb 0.7021 0.6634 0.6019
Nb 0.7979 0.1634 0.3981
Co 0.0000 0.0000 0.0000
Co 0.5000 0.5000 0.0000
C 0.5000 0.0000 0.5000
C 0.0000 0.5000 0.5000

---

Record 3
## NbCoOs2C (PBE)

Data for a geometry-optimized NbCoOs2C structure.

* D(E_F): 5.63 states/eV/cell
* V: 86 Å³ per cell
* calculated formation energy: 2.524 eV per atom
* SG: P4/mmm
* magnetic moment: 0.0 μB per cell

abc: 4.3694 4.5111 4.3694
angles: 90.00 90.00 90.00
Atoms (fractional coordinates):
Co 0.0000 0.0000 0.0000
Nb 0.0000 0.5000 0.0000
Os 0.0000 0.0000 0.5000
Os 0.5000 0.0000 0.0000
C 0.5000 0.5000 0.5000

---

Record 4
## PaNb2CoC4 (PBE)

Data for a geometry-optimized PaNb2CoC4 structure.

* D(E_F): 7.23 states/eV/cell
* V: 191 Å³ per cell
* calculated formation energy: -0.324 eV per atom
* SG: Cmcm
* magnetic moment: 0.0 μB per cell

abc: 3.2300 5.7145 10.7798
angles: 90.00 90.00 106.42
Atoms (fractional coordinates):
Pa 0.1031 0.2061 0.7500
Pa 0.8969 0.7939 0.2500
Nb 0.3691 0.7382 0.5480
Nb 0.6309 0.2618 0.0480
Nb 0.6309 0.2618 0.4520
Nb 0.3691 0.7382 0.9520
Co 0.8428 0.6856 0.7500
Co 0.1572 0.3144 0.2500
C 0.2707 0.5414 0.1224
C 0.7293 0.4586 0.6224
C 0.7293 0.4586 0.8776
C 0.2707 0.5414 0.3776
C 0.0000 0.0000 0.5000
C 0.0000 0.0000 0.0000
C 0.4369 0.8738 0.7500
C 0.5631 0.1262 0.2500

---

Record 5
## NbCo2CSe (PBE)

Data for a geometry-optimized NbCo2CSe structure.

* D(E_F): 5.13 states/eV/cell
* V: 73 Å³ per cell
* SG: P4/mmm
* raw formation energy: 1541 meV per atom
* magnetic moment: 1.5 μB per cell

abc: 4.2439 4.2439 4.0609
angles: 90.00 90.00 90.00
Each line ends with the local moment (μB).
Atoms (fractional coordinates):
Nb 0.5000 0.5000 0.5000  -0.03
Co 0.0000 0.5000 0.0000  0.75
Co 0.5000 0.0000 0.0000  0.75
C 0.0000 0.0000 0.5000  0.05
Se 0.0000 0.0000 0.0000  0.00

---

Record 6
## NbCoTc2C (PBE)

Data for a geometry-optimized NbCoTc2C structure.

* D(E_F): 1.67 states/eV/cell
* V: 64 Å³ per cell
* calculated formation energy: -0.116 eV per atom
* SG: P4/mmm
* magnetic moment: 0.0 μB per cell

abc: 4.1244 4.1244 3.7625
angles: 90.00 90.00 90.00
Atoms (fractional coordinates):
C 0.0000 0.0000 0.0000
Nb 0.5000 0.5000 0.5000
Co 0.0000 0.0000 0.5000
Tc 0.0000 0.5000 0.0000
Tc 0.5000 0.0000 0.0000

---

Record 7
## NbCoW2C (PBE)

Data for a geometry-optimized NbCoW2C structure.

* D(E_F): 6.72 states/eV/cell
* V: 76 Å³ per cell
* calculated formation energy: 1.269 eV per atom
* SG: P4/mmm
* magnetic moment: 0.0 μB per cell

abc: 4.6864 3.4628 4.6864
angles: 90.00 90.00 90.00
Atoms (fractional coordinates):
Nb 0.5000 0.5000 0.5000
Co 0.0000 0.0000 0.0000
C 0.0000 0.5000 0.0000
W 0.0000 0.0000 0.5000
W 0.5000 0.0000 0.0000

---

Record 8
## NbZnCo2C (PBE)

Data for a geometry-optimized NbZnCo2C structure.

* D(E_F): 5.40 states/eV/cell
* V: 63 Å³ per cell
* calculated formation energy: 0.039 eV per atom
* SG: P4/mmm
* magnetic moment: 3.0 μB per cell

abc: 3.8333 3.8333 4.2572
angles: 90.00 90.00 90.00
Each line ends with the local moment (μB).
Atoms (fractional coordinates):
C 0.0000 0.0000 0.0000  0.00
Nb 0.0000 0.0000 0.5000  0.34
Co 0.0000 0.5000 0.0000  1.29
Co 0.5000 0.0000 0.0000  1.29
Zn 0.5000 0.5000 0.5000  0.03

---

Record 9
## Nd2CoC2 (PBE)

Data for a geometry-optimized Nd2CoC2 structure.

* D(E_F): 6.53 states/eV/cell
* V: 159 Å³ per cell
* calculated formation energy: 0.017 eV per atom
* SG: C2/c
* magnetic moment: 0.0 μB per cell

abc: 4.8643 5.1316 7.2599
angles: 94.12 90.00 118.29
Atoms (fractional coordinates):
Nd 0.5977 0.3158 0.1214
Nd 0.2818 0.6842 0.3786
Nd 0.4023 0.6842 0.8786
Nd 0.7182 0.3158 0.6214
Co 0.9001 0.0000 0.2500
Co 0.0999 0.0000 0.7500
C 0.8561 0.8613 0.5110
C 0.9948 0.1387 0.9890
C 0.1439 0.1387 0.4890
C 0.0052 0.8613 0.0110

---

Record 10
## NdCo2C (PBE)

Data for a geometry-optimized NdCo2C structure.

* D(E_F): 2.17 states/eV/cell
* V: 55 Å³ per cell
* calculated formation energy: 0.227 eV per atom
* SG: R-3m
* distance to the lowest polymorph of the same formula: 93 meV per atom
* magnetic moment: 0.0 μB per cell

abc: 3.5440 3.5440 5.4805
angles: 71.14 71.14 60.00
Atoms (fractional coordinates):
Co 0.6984 0.6984 0.9047
Co 0.3016 0.3016 0.0953
C 0.0000 0.0000 0.0000
Nd 0.5000 0.5000 0.5000

---

Record 11
## NdCo2C (PBE)

Data for a geometry-optimized NdCo2C structure.

* D(E_F): 8.51 states/eV/cell
* V: 114 Å³ per cell
* calculated formation energy: 0.134 eV per atom
* SG: Cmcm
* distance to the lowest polymorph of the same formula: 0 meV per atom
* magnetic moment: 1.9 μB per cell

abc: 3.0354 5.5591 7.0227
angles: 90.00 90.00 105.84
Each line ends with the local moment (μB).
Atoms (fractional coordinates):
Nd 0.9429 0.8861 0.2500  -0.02
Nd 0.0571 0.1139 0.7500  -0.02
Co 0.3191 0.6380 0.5865  0.51
Co 0.6809 0.3620 0.4135  0.51
Co 0.3191 0.6380 0.9135  0.51
Co 0.6809 0.3620 0.0865  0.51
C 0.7998 0.5993 0.7500  -0.02
C 0.2002 0.4007 0.2500  -0.02

---

Record 12
## Nd2Co4C (PBE)

Data for a geometry-optimized Nd2Co4C structure.

* D(E_F): 8.21 states/eV/cell
* V: 113 Å³ per cell
* calculated formation energy: 0.009 eV per atom
* SG: I4/mmm
* magnetic moment: 1.3 μB per cell

abc: 3.8613 3.8613 8.0579
angles: 76.14 76.14 90.00
Each line ends with the local moment (μB).
Atoms (fractional coordinates):
Co 0.8795 0.8795 0.2409  0.17
Co 0.1205 0.1205 0.7591  0.17
Co 0.0000 0.5000 0.0000  0.53
Co 0.5000 0.0000 0.0000  0.53
C 0.0000 0.0000 0.0000  -0.03
Nd 0.6611 0.6611 0.6778  -0.03
Nd 0.3389 0.3389 0.3222  -0.03